Density functional theory data (PBE) for an optimized crystal structure of Sm2I3Br.

Cell lengths 4.153, 10.325, 11.922 Å; angles 96.60, 79.97, 78.40 degrees
Positions (direct):
I  0.064  0.055  0.817
I  0.692  0.685  0.931
I  0.936  0.945  0.183
I  0.308  0.315  0.069
I  0.820  0.808  0.552
I  0.180  0.192  0.448
Sm  0.376  0.879  0.368
Sm  0.624  0.121  0.632
Sm  0.874  0.371  0.882
Sm  0.126  0.629  0.118
Br  0.561  0.588  0.290
Br  0.439  0.412  0.710

Summary:
- crystal system = monoclinic
- E_tot (eV per atom) = -3.99
- energy relative to the elements, uncorrected (eV per formula unit) = -8.2